Record 1
First-principles (GGA-PBE) data for a relaxed LaDy2Ho7 crystal, as listed in the Alexandria database.

a b c (Å): 5.631 9.142 9.142
angles (deg): 123.09 90.00 90.00
Atoms (fractional coordinates):
Ho (0.500, 0.500, 0.500)
Dy (0.500, 0.703, 0.297)
La (0.000, 0.000, 0.000)
Ho (0.500, 0.939, 0.707)
Ho (0.500, 0.061, 0.293)
Ho (0.500, 0.707, 0.939)
Ho (0.500, 0.293, 0.061)
Dy (0.500, 0.297, 0.703)
Ho (0.000, 0.781, 0.219)
Ho (0.000, 0.219, 0.781)

Calculated total energy: -3.92 eV/atom
Calculated volume: 394.3 Å³/f.u.
Energy of formation: 0.697 eV/atom

Record 2
First-principles (GGA-PBE) data for a relaxed LaDy2Ho4 crystal, as listed in the Alexandria database.

a b c (Å): 7.069 8.602 8.819
angles (deg): 114.49 101.51 101.85
Atoms (fractional coordinates):
Ho (0.026, 0.565, 0.774)
Ho (0.945, 0.837, 0.180)
Dy (0.801, 0.413, 0.034)
Ho (0.528, 0.566, 0.772)
La (0.920, 0.011, 0.902)
Ho (0.334, 0.239, 0.316)
Ho (0.307, 0.414, 0.038)
Ho (0.624, 0.128, 0.603)
Dy (0.129, 0.136, 0.607)
Ho (0.421, 0.012, 0.902)
La (0.221, 0.676, 0.447)
Dy (0.445, 0.834, 0.172)
Ho (0.828, 0.242, 0.316)
Dy (0.721, 0.677, 0.439)

Calculated total energy: -4.59 eV/atom
Calculated volume: 226.3 Å³/f.u.
Energy of formation: 0.042 eV/atom

Record 3
First-principles (GGA-PBE) data for a relaxed La6DyHo4 crystal, as listed in the Alexandria database.

a b c (Å): 6.997 6.997 9.386
angles (deg): 111.89 111.89 90.00
Atoms (fractional coordinates):
La (0.000, 0.500, 0.000)
La (0.512, 0.512, 0.637)
La (0.488, 0.875, 0.363)
Ho (0.729, 0.066, 0.795)
La (0.500, 0.000, 0.000)
La (0.125, 0.125, 0.637)
La (0.875, 0.488, 0.363)
Ho (0.271, 0.271, 0.205)
Ho (0.934, 0.934, 0.205)
Dy (0.500, 0.500, 0.000)
Ho (0.066, 0.729, 0.795)

Calculated total energy: -4.49 eV/atom
Calculated volume: 390.5 Å³/f.u.
Energy of formation: 0.281 eV/atom

Record 4
First-principles (GGA-PBE) data for a relaxed La8Dy2Ho3 crystal, as listed in the Alexandria database.

a b c (Å): 5.829 7.752 10.992
angles (deg): 110.65 90.02 90.00
Atoms (fractional coordinates):
Dy (0.499, 0.240, 0.479)
La (0.500, 0.595, 0.790)
Ho (0.000, 0.283, 0.000)
La (0.500, 0.805, 0.210)
La (0.500, 0.195, 0.790)
Ho (0.000, 0.717, 0.000)
La (0.000, 0.130, 0.261)
Dy (0.501, 0.760, 0.521)
La (0.500, 0.405, 0.210)
Ho (0.500, 0.000, 0.000)
La (0.000, 0.870, 0.739)
La (0.001, 0.675, 0.350)
La (0.999, 0.325, 0.650)

Calculated total energy: -4.62 eV/atom
Calculated volume: 464.8 Å³/f.u.
Energy of formation: 0.179 eV/atom

Record 5
First-principles (GGA-PBE) data for a relaxed La4Dy15Ho crystal, as listed in the Alexandria database.

a b c (Å): 5.081 5.081 25.256
angles (deg): 90.00 90.00 90.00
Atoms (fractional coordinates):
Dy (0.500, 0.000, 0.299)
Dy (0.500, 0.000, 0.701)
La (0.000, 0.000, 0.200)
Dy (0.000, 0.500, 0.299)
Dy (0.000, 0.500, 0.097)
Dy (0.500, 0.000, 0.903)
Ho (0.000, 0.000, 0.000)
La (0.000, 0.000, 0.800)
Dy (0.500, 0.500, 0.000)
Dy (0.500, 0.500, 0.600)
Dy (0.500, 0.000, 0.500)
Dy (0.000, 0.500, 0.701)
Dy (0.000, 0.500, 0.903)
La (0.000, 0.000, 0.399)
Dy (0.500, 0.500, 0.198)
Dy (0.000, 0.500, 0.500)
Dy (0.500, 0.000, 0.097)
Dy (0.500, 0.500, 0.802)
Dy (0.500, 0.500, 0.400)
La (0.000, 0.000, 0.601)

Calculated total energy: -4.64 eV/atom
Calculated volume: 652.0 Å³/f.u.
Energy of formation: 0.028 eV/atom

Record 6
First-principles (GGA-PBE) data for a relaxed La4Dy4Ho crystal, as listed in the Alexandria database.

a b c (Å): 5.280 5.280 12.626
angles (deg): 99.18 99.18 103.71
Atoms (fractional coordinates):
Ho (0.076, 0.076, 0.152)
Dy (0.800, 0.453, 0.253)
La (0.754, 0.754, 0.509)
Dy (0.123, 0.123, 0.734)
La (0.983, 0.483, 0.965)
Dy (0.611, 0.611, 0.734)
Dy (0.453, 0.800, 0.253)
La (0.483, 0.983, 0.965)
La (0.217, 0.217, 0.434)

Calculated total energy: -4.27 eV/atom
Calculated volume: 330.4 Å³/f.u.
Energy of formation: 0.478 eV/atom

Record 7
First-principles (GGA-PBE) data for a relaxed La5DyHo6 crystal, as listed in the Alexandria database.

a b c (Å): 6.184 7.338 9.601
angles (deg): 67.51 87.97 89.97
Atoms (fractional coordinates):
Ho (0.168, 0.916, 0.669)
Ho (0.832, 0.585, 0.331)
Ho (0.500, 0.248, 0.000)
La (0.000, 0.500, 0.000)
Ho (0.500, 0.752, 0.000)
Dy (0.000, 0.000, 0.000)
La (0.666, 0.667, 0.666)
Ho (0.832, 0.084, 0.331)
La (0.669, 0.165, 0.671)
La (0.334, 0.333, 0.334)
La (0.331, 0.835, 0.329)
Ho (0.168, 0.415, 0.669)

Calculated total energy: -4.70 eV/atom
Calculated volume: 402.3 Å³/f.u.
Energy of formation: 0.028 eV/atom

Record 8
First-principles (GGA-PBE) data for a relaxed LaDy2Ho6 crystal, as listed in the Alexandria database.

a b c (Å): 3.485 5.628 17.191
angles (deg): 119.40 101.68 89.96
Atoms (fractional coordinates):
Ho (0.228, 0.839, 0.727)
Ho (0.446, 0.170, 0.946)
Dy (0.165, 0.499, 0.165)
Dy (0.835, 0.501, 0.835)
Ho (0.885, 0.829, 0.386)
Ho (0.772, 0.161, 0.273)
La (0.500, 0.500, 0.500)
Ho (0.115, 0.171, 0.614)
Ho (0.554, 0.830, 0.054)

Calculated total energy: -4.55 eV/atom
Calculated volume: 285.7 Å³/f.u.
Energy of formation: 0.072 eV/atom

Record 9
First-principles (GGA-PBE) data for a relaxed La7Dy2Ho crystal, as listed in the Alexandria database.

a b c (Å): 3.544 10.502 10.502
angles (deg): 108.89 90.00 90.00
Atoms (fractional coordinates):
La (0.500, 0.875, 0.616)
La (0.500, 0.125, 0.384)
Dy (0.500, 0.165, 0.835)
La (0.500, 0.616, 0.875)
La (0.000, 0.681, 0.319)
La (0.500, 0.384, 0.125)
La (0.500, 0.500, 0.500)
Dy (0.500, 0.835, 0.165)
La (0.000, 0.319, 0.681)
Ho (0.000, 0.000, 0.000)

Calculated total energy: -4.50 eV/atom
Calculated volume: 369.8 Å³/f.u.
Energy of formation: 0.331 eV/atom

Record 10
First-principles (GGA-PBE) data for a relaxed LaDy4Ho10 crystal, as listed in the Alexandria database.

a b c (Å): 10.678 8.733 8.733
angles (deg): 68.05 52.31 52.31
Atoms (fractional coordinates):
Ho (0.951, 0.096, 0.341)
Ho (0.250, 0.500, 0.500)
Ho (0.292, 0.659, 0.096)
Dy (0.447, 0.339, 0.766)
Ho (0.049, 0.904, 0.659)
Dy (0.214, 0.234, 0.339)
Dy (0.553, 0.661, 0.234)
Ho (0.047, 0.341, 0.904)
La (0.000, 0.000, 0.000)
Ho (0.612, 0.096, 0.341)
Dy (0.786, 0.766, 0.661)
Ho (0.750, 0.500, 0.500)
Ho (0.953, 0.659, 0.096)
Ho (0.708, 0.341, 0.904)
Ho (0.388, 0.904, 0.659)

Calculated total energy: -4.12 eV/atom
Calculated volume: 509.9 Å³/f.u.
Energy of formation: 0.485 eV/atom

Record 11
First-principles (GGA-PBE) data for a relaxed La7Dy4Ho crystal, as listed in the Alexandria database.

a b c (Å): 6.109 9.751 8.744
angles (deg): 62.43 69.56 71.75
Atoms (fractional coordinates):
Dy (0.668, 0.634, 0.030)
La (0.790, 0.893, 0.528)
Dy (0.434, 0.702, 0.430)
La (0.088, 0.546, 0.278)
La (0.210, 0.107, 0.472)
La (0.779, 0.250, 0.193)
Dy (0.566, 0.298, 0.570)
Ho (0.000, 0.000, 0.000)
La (0.500, 0.000, 0.000)
Dy (0.332, 0.366, 0.970)
La (0.221, 0.750, 0.807)
La (0.912, 0.454, 0.722)

Calculated total energy: -4.58 eV/atom
Calculated volume: 425.4 Å³/f.u.
Energy of formation: 0.212 eV/atom

Record 12
First-principles (GGA-PBE) data for a relaxed La12DyHo7 crystal, as listed in the Alexandria database.

a b c (Å): 8.861 8.861 8.861
angles (deg): 89.58 89.58 89.58
Atoms (fractional coordinates):
Ho (0.376, 0.059, 0.141)
La (0.519, 0.392, 0.856)
Ho (0.141, 0.376, 0.059)
Dy (0.000, 0.000, 0.000)
Ho (0.624, 0.941, 0.859)
Ho (0.500, 0.500, 0.500)
Ho (0.941, 0.859, 0.624)
La (0.266, 0.718, 0.854)
La (0.718, 0.854, 0.266)
La (0.282, 0.146, 0.734)
La (0.854, 0.266, 0.718)
La (0.608, 0.144, 0.481)
Ho (0.059, 0.141, 0.376)
La (0.481, 0.608, 0.144)
La (0.856, 0.519, 0.392)
La (0.734, 0.282, 0.146)
La (0.392, 0.856, 0.519)
La (0.144, 0.481, 0.608)
La (0.146, 0.734, 0.282)
Ho (0.859, 0.624, 0.941)

Calculated total energy: -4.59 eV/atom
Calculated volume: 695.6 Å³/f.u.
Energy of formation: 0.195 eV/atom